(1)
A plane-wave DFT calculation with PBE was carried out for an optimized crystal structure of FeHgCl2.

Results
volume: 123.0 Å³/f.u.
crystal system: orthorhombic
magnetization: 3.94 μB/f.u.

Cell lengths 3.3463, 6.9561, 10.5642 Å; angles 90.00, 90.00, 90.00 degrees
Space group Cmmm (No. 65)
One atom of each set of equivalent atoms:
Fe 0.0000 0.0000 0.0000 x2
Hg 0.0000 0.0000 0.5000 x2
Cl 0.0000 0.5000 0.1560 x4

(2)
A plane-wave DFT calculation with PBE was carried out for an optimized crystal structure of FeHgCl2.

Results
volume: 85.8 Å³/f.u.
crystal system: orthorhombic
magnetization: 3.57 μB/f.u.

Cell lengths 6.5175, 7.3000, 3.6053 Å; angles 90.00, 90.00, 90.00 degrees
Space group Cmmm (No. 65)
One atom of each set of equivalent atoms:
Fe 0.0000 0.0000 0.0000 x2
Hg 0.0000 0.5000 0.0000 x2
Cl 0.2500 0.2500 0.5000 x4

(3)
A plane-wave DFT calculation with PBE was carried out for an optimized crystal structure of FeHgCl2.

Results
volume: 98.1 Å³/f.u.
crystal system: orthorhombic
magnetization: 3.34 μB/f.u.

Cell lengths 3.5022, 6.2211, 9.0022 Å; angles 90.00, 90.00, 90.00 degrees
Space group Cmm2 (No. 35)
One atom of each set of equivalent atoms:
Fe 0.0000 0.0000 0.0000 x2
Hg 0.0000 0.5000 0.7695 x2
Cl 0.0000 0.0000 0.5580 x2
Cl 0.0000 0.5000 0.1687 x2

(4)
A plane-wave DFT calculation with PBE was carried out for an optimized crystal structure of FeHgCl2.

Results
volume: 113.2 Å³/f.u.
crystal system: monoclinic
magnetization: 4.00 μB/f.u.

Cell lengths 5.7959, 3.4223, 6.2256 Å; angles 90.00, 113.55, 90.00 degrees
Space group Pm (No. 6)
One atom of each set of equivalent atoms:
Fe 0.0000 0.0000 0.0000 x1
Hg 0.2981 0.5000 0.8572 x1
Cl 0.6555 0.0000 0.6761 x1
Cl 0.9943 0.5000 0.2547 x1

Most stable one: (4), least stable one: (2).

(1)
A plane-wave DFT calculation with PBE was carried out for an optimized crystal structure of FeHgCl2.

Results
volume: 89.3 Å³/f.u.
crystal system: tetragonal
magnetization: 3.25 μB/f.u.

Cell lengths 3.9070, 3.9070, 11.7047 Å; angles 90.00, 90.00, 90.00 degrees
Space group I-4m2 (No. 119)
One atom of each set of equivalent atoms:
Fe 0.0000 0.0000 0.0000 x2
Hg 0.0000 0.5000 0.7500 x2
Cl 0.0000 0.0000 0.5000 x2
Cl 0.0000 0.5000 0.2500 x2

(2)
A plane-wave DFT calculation with PBE was carried out for an optimized crystal structure of FeHgCl2.

Results
volume: 106.7 Å³/f.u.
crystal system: monoclinic
magnetization: 3.97 μB/f.u.

Cell lengths 6.0663, 3.5026, 10.2054 Å; angles 90.00, 100.12, 90.00 degrees
Space group C2/m (No. 12)
One atom of each set of equivalent atoms:
Fe 0.0000 0.0000 0.0000 x2
Hg 0.0000 0.5000 0.5000 x2
Cl 0.2084 0.5000 0.1405 x4

(3)
A plane-wave DFT calculation with PBE was carried out for an optimized crystal structure of FeHgCl2.

Results
volume: 85.7 Å³/f.u.
crystal system: tetragonal
magnetization: 3.58 μB/f.u.

Cell lengths 4.8574, 4.8574, 3.6311 Å; angles 90.00, 90.00, 90.00 degrees
Space group P4/mmm (No. 123)
One atom of each set of equivalent atoms:
Fe 0.0000 0.0000 0.0000 x1
Hg 0.5000 0.5000 0.0000 x1
Cl 0.0000 0.5000 0.5000 x2

(4)
A plane-wave DFT calculation with PBE was carried out for an optimized crystal structure of FeHgCl2.

Results
volume: 113.7 Å³/f.u.
crystal system: tetragonal
magnetization: 0.00 μB/f.u.

Cell lengths 6.9280, 6.9280, 9.4773 Å; angles 90.00, 90.00, 90.00 degrees
Space group I-42d (No. 122)
One atom of each set of equivalent atoms:
Fe 0.0000 0.0000 0.0000 x4
Hg 0.0000 0.0000 0.5000 x4
Cl 0.0751 0.2500 0.1250 x8

Most stable one: (2), least stable one: (3).

(1)
A plane-wave DFT calculation with PBE was carried out for an optimized crystal structure of FeHgCl2.

Results
volume: 102.1 Å³/f.u.
crystal system: trigonal
magnetization: 0.00 μB/f.u.

Cell lengths 3.4085, 3.4085, 30.4339 Å; angles 90.00, 90.00, 120.00 degrees
Space group R-3m (No. 166, hexagonal axes)
One atom of each set of equivalent atoms:
Fe 0.0000 0.0000 0.0000 x3
Hg 0.0000 0.0000 0.5000 x3
Cl 0.0000 0.0000 0.3729 x6

(2)
A plane-wave DFT calculation with PBE was carried out for an optimized crystal structure of FeHgCl2.

Results
volume: 84.6 Å³/f.u.
crystal system: cubic
magnetization: 3.49 μB/f.u.

Cell lengths 6.9699, 6.9699, 6.9699 Å; angles 90.00, 90.00, 90.00 degrees
Space group Fm-3m (No. 225)
One atom of each set of equivalent atoms:
Fe 0.0000 0.0000 0.0000 x4
Hg 0.0000 0.0000 0.5000 x4
Cl 0.2500 0.2500 0.2500 x8

Most stable one: (1), least stable one: (2).